Here is crystalline MnBiH3 at its relaxed geometry from the Alexandria database. Energies are from GGA-PBE.

Summary:
* spin magnetization: 2.07 μB/f.u.
* E above lowest polymorph: 0 meV per atom

Cell: 3.670 3.670 3.670 Å, 90.00 90.00 90.00°
Space group Pm-3m (No. 221)
One atom of each set of equivalent atoms:
Mn: 0.000 0.000 0.000 (multiplicity 1)
Bi: 0.500 0.500 0.500 (multiplicity 1)
H: 0.000 0.000 0.500 (multiplicity 3)